A geometry-optimized Tb5Tl4Co structure, computed with PBE.

Cell lengths 5.2680, 7.7467, 7.7467 Å; angles 83.36, 70.12, 70.12 degrees
Positions (direct):
1 Tb 0.1811 0.9903 0.6492
2 Tb 0.8303 0.3508 0.9903
3 Tb 0.1714 0.6492 0.0097
4 Tb 0.8206 0.0097 0.3508
5 Tb 0.5008 0.0000 0.0000
6 Tl 0.1746 0.3240 0.3295
7 Tl 0.5040 0.6705 0.3240
8 Tl 0.8280 0.6760 0.6705
9 Tl 0.4986 0.3295 0.6760
10 Co 0.0008 0.0000 0.0000

Formation enthalpy at 0 K: -0.179 eV/atom
Space group: No. 87
D(E_F): 8.53 states/eV per cell
Raw total energy: -4.1516 eV per atom